Entry 1:
VASP calculation (PBE) on a relaxed Ca2TbGd crystal.

Energy of formation in eV/atom: 0.1562
Energy above the most stable polymorph in this dataset in eV/f.u.: 0.000
Calculated total energy in eV/atom: -5.522

Lattice parameters (Å, degrees): 5.4594 5.1587 5.1587 90.00 90.00 90.00
Site moments in Bohr magnetons follow the coordinates.
Element x y z (fractional)
Gd  0.5000  0.0000  0.0000  7.39
Ca  0.0000  0.0000  0.5000  0.05
Ca  0.0000  0.5000  0.0000  0.05
Tb  0.5000  0.5000  0.5000  0.34


Entry 2:
VASP calculation (PBE) on a relaxed Ta2Co crystal.

Energy of formation in eV/atom: -0.0714
Calculated total energy in eV/atom: -10.342

Lattice parameters (Å, degrees): 2.8938 2.8938 5.9967 76.04 76.04 90.00
Site moments in Bohr magnetons follow the coordinates.
Element x y z (fractional)
Ta  0.6501  0.6501  0.6998  0.00
Ta  0.3499  0.3499  0.3002  0.00
Co  0.0000  0.0000  0.0000  0.64


Entry 3:
VASP calculation (PBE) on a relaxed PuTi5Ga3 crystal.

Energy of formation in eV/atom: -0.3345
Calculated total energy in eV/atom: -7.322

Lattice parameters (Å, degrees): 5.5274 7.9877 7.9877 120.00 90.00 90.00
Site moments in Bohr magnetons follow the coordinates.
Element x y z (fractional)
Ga  0.2500  0.6493  0.6493  -0.01
Ga  0.7500  0.0000  0.6493  -0.01
Ga  0.2500  0.0000  0.3507  -0.01
Ga  0.7500  0.6493  0.0000  -0.01
Ga  0.2500  0.3507  0.0000  -0.01
Ga  0.7500  0.3507  0.3507  -0.01
Ti  0.7500  0.3254  0.0000  -0.09
Ti  0.7500  0.0000  0.3254  -0.09
Ti  0.2500  0.6746  0.0000  -0.09
Ti  0.0000  0.3333  0.6667  -0.16
Ti  0.7500  0.6746  0.6746  -0.09
Ti  0.2500  0.3254  0.3254  -0.09
Ti  0.5000  0.6667  0.3333  -0.16
Ti  0.0000  0.6667  0.3333  -0.16
Ti  0.5000  0.3333  0.6667  -0.16
Ti  0.2500  0.0000  0.6746  -0.09
Pu  0.5000  0.0000  0.0000  4.81
Pu  0.0000  0.0000  0.0000  4.81


Entry 4:
VASP calculation (PBE) on a relaxed InCuAs2 crystal.

Energy of formation in eV/atom: 0.2257
Calculated total energy in eV/atom: -3.808

Lattice parameters (Å, degrees): 5.8689 5.8689 5.8689 143.11 135.93 58.78
Element x y z (fractional)
As  0.5823  0.5823  0.0000
As  0.9177  0.9177  0.0000
In  0.2500  0.7500  0.5000
Cu  0.7500  0.2500  0.5000